No. 1
The following is a meta-GGA SCAN calculation of a PBEsol-optimized structure of La2MnHg, from the Alexandria database.

```
4
Lattice="-1.440 -1.617 2.921 -2.849 -3.255 -3.206 4.044 -3.555 0.026" Properties=species:S:1:pos:R:3 pbc="T T T"
Hg -0.720 -0.808 1.460
La -1.425 -1.627 -1.603
La 2.022 -1.778 0.013
Mn -0.123 -4.213 -0.130
```

## Properties
Density of states at the Fermi level ... 0.807 states/eV per atom
Raw total energy ... -43.4931 eV/atom
Crystal system ... orthorhombic

No. 2
The following is a meta-GGA SCAN calculation of a PBEsol-optimized structure of Ba2CaCu2, from the Alexandria database.

```
10
Lattice="4.635 0.000 0.000 0.000 8.237 0.000 0.000 0.000 8.237" Properties=species:S:1:pos:R:3 pbc="T T T"
Ca 0.000 0.000 0.000
Ca 0.000 4.118 4.118
Ba 2.317 1.421 5.539
Ba 2.317 5.539 6.815
Ba 2.317 6.815 2.697
Ba 2.317 2.697 1.421
Cu 0.000 3.227 7.345
Cu 0.000 7.345 5.010
Cu 0.000 5.010 0.891
Cu 0.000 0.891 3.227
```

## Properties
Density of states at the Fermi level ... 0.619 states/eV per atom
Raw total energy ... -23.7846 eV/atom
Crystal system ... tetragonal

No. 3
The following is a meta-GGA SCAN calculation of a PBEsol-optimized structure of Li2AlVO4, from the Alexandria database.

```
24
Lattice="5.030 -0.011 -0.012 0.012 5.765 0.007 2.364 1.379 6.948" Properties=species:S:1:pos:R:3 pbc="T T T"
Li 1.984 3.543 5.793
Li 5.422 3.589 1.150
Li 6.203 2.150 3.455
Li 1.202 4.983 3.488
Li 1.981 6.358 5.787
Li 5.425 0.774 1.155
Al 3.703 3.566 3.471
Al 4.494 4.924 5.783
Al 2.912 2.209 1.160
V 3.697 0.684 3.468
V 4.497 2.032 5.806
V 2.909 5.101 1.137
O 3.701 6.325 6.873
O 3.705 0.807 0.070
O 3.786 3.568 6.928
O 3.620 3.564 0.014
O 2.121 0.813 2.231
O 5.284 6.319 4.712
O 2.210 3.586 2.293
O 5.196 3.546 4.650
O 2.934 2.162 4.569
O 4.472 4.971 2.374
O 2.992 4.926 4.609
O 4.414 2.207 2.334
```

## Properties
Density of states at the Fermi level ... 0.132 states/eV per atom
Offset from the most stable computed form ... 0 meV per atom
Raw total energy ... -9.6418 eV/atom
Uncorrected formation energy ... -2774 meV/atom
Crystal system ... triclinic